Compound: SmDy4Ag2
Source: Alexandria
Functional: GGA-PBE
Structure: optimized geometry

a b c (Å): 4.9601 4.9601 30.7170
angles (deg): 90.00 90.00 120.00
With the nearest neighbours (Å) after each atom.
Space group R-3m (No. 166, hexagonal axes)
One atom of each set of equivalent atoms:
Sm 0.0000 0.0000 0.0000 x3  2 Ag 3.13, 6 Dy 3.45
Dy 0.0000 0.0000 0.2018 x6  4 Ag 3.01-3.07
Dy 0.0000 0.0000 0.3962 x6  3 Ag 3.10, 3 Sm 3.45
Ag 0.0000 0.0000 0.1017 x6  7 Dy 3.01-3.10, 1 Sm 3.13

Summary:
Energy ... -3.944 eV per atom
DFT formation energy ... 0.17 eV per atom
N(E_F) ... 11.50 states/eV/f.u.
V ... 31.2 Å³ per atom

Compound: SmDyAg3
Source: Alexandria
Functional: GGA-PBE
Structure: optimized geometry

a b c (Å): 5.5201 5.0071 8.7077
angles (deg): 90.00 102.44 90.00
With the nearest neighbours (Å) after each atom.
Space group P2_1/m (No. 11)
One atom of each set of equivalent atoms:
Sm 0.0584 0.2500 0.3752 x2  7 Ag 3.01-3.15
Dy 0.2531 0.7500 0.0541 x2  8 Ag 3.02-3.36
Ag 0.2013 0.2500 0.7925 x2  3 Ag 3.01-3.12, 4 Dy 3.02-3.36, 2 Sm 3.09
Ag 0.4009 0.7500 0.4142 x2  6 Ag 3.00-3.12, 1 Dy 3.07, 3 Sm 3.11-3.15
Ag 0.4930 0.7500 0.7703 x2  5 Ag 3.01-3.10, 2 Sm 3.01-3.03, 3 Dy 3.05-3.11

Summary:
Energy ... -3.810 eV per atom
DFT formation energy ... -0.23 eV per atom
N(E_F) ... 2.68 states/eV/f.u.
V ... 23.5 Å³ per atom

Compound: Sm2DyAg4
Source: Alexandria
Functional: GGA-PBE
Structure: optimized geometry

a b c (Å): 5.3629 5.3629 12.7961
angles (deg): 90.00 90.00 90.00
With the nearest neighbours (Å) after each atom.
Space group I4/mmm (No. 139)
One atom of each set of equivalent atoms:
Sm 0.0000 0.0000 0.2217 x4  4 Ag 3.00
Dy 0.0000 0.0000 0.5000 x2  8 Ag 3.07
Ag 0.0000 0.5000 0.1164 x8  1 Ag 2.98, 2 Sm 3.00, 2 Dy 3.07

Summary:
Energy ... -3.743 eV per atom
DFT formation energy ... -0.11 eV per atom
N(E_F) ... 6.07 states/eV/f.u.
V ... 26.3 Å³ per atom

Compound: SmDy3Ag4
Source: Alexandria
Functional: GGA-PBE
Structure: optimized geometry

a b c (Å): 3.6304 5.1903 10.3743
angles (deg): 90.00 90.00 90.00
With the nearest neighbours (Å) after each atom.
Space group Pmmm (No. 47)
One atom of each set of equivalent atoms:
Sm 0.0000 0.0000 0.0000 x1  8 Ag 3.17-3.21
Dy 0.0000 0.0000 0.5000 x1  8 Ag 3.12-3.17
Dy 0.0000 0.5000 0.2514 x2  8 Ag 3.15-3.18
Ag 0.5000 0.0000 0.2557 x2  6 Dy 3.12-3.17, 2 Sm 3.21
Ag 0.5000 0.5000 0.0000 x1  4 Sm 3.17, 4 Dy 3.18
Ag 0.5000 0.5000 0.5000 x1  8 Dy 3.15-3.17

Summary:
Energy ... -4.049 eV per atom
DFT formation energy ... -0.31 eV per atom
N(E_F) ... 5.12 states/eV/f.u.
V ... 24.4 Å³ per atom

Compound: SmDyAg2
Source: Alexandria
Functional: GGA-PBE
Structure: optimized geometry

a b c (Å): 3.6475 3.6475 7.4414
angles (deg): 90.00 90.00 90.00
With the nearest neighbours (Å) after each atom.
Space group P4/mmm (No. 123)
One atom of each set of equivalent atoms:
Sm 0.0000 0.0000 0.0000 x1  8 Ag 3.24
Dy 0.0000 0.0000 0.5000 x1  8 Ag 3.12
Ag 0.5000 0.5000 0.2630 x2  4 Dy 3.12, 4 Sm 3.24

Summary:
Energy ... -4.058 eV per atom
DFT formation energy ... -0.30 eV per atom
N(E_F) ... 2.51 states/eV/f.u.
V ... 24.8 Å³ per atom

Compound: Sm3DyAg2
Source: Alexandria
Functional: GGA-PBE
Structure: optimized geometry

a b c (Å): 5.1913 9.3026 6.9942
angles (deg): 90.00 90.00 90.00
With the nearest neighbours (Å) after each atom.
Space group Pmc2_1 (No. 26)
One atom of each set of equivalent atoms:
Sm 0.0000 0.0623 0.0000 x2  3 Ag 3.08-3.21
Sm 0.0000 0.3332 0.3519 x2  4 Ag 3.00-3.18
Sm 0.5000 0.1703 0.6677 x2  4 Ag 3.00-3.18
Dy 0.5000 0.4390 0.0217 x2  3 Ag 3.05-3.21
Ag 0.0000 0.3492 0.7808 x2  5 Sm 3.00-3.18, 2 Dy 3.21
Ag 0.5000 0.1551 0.2395 x2  6 Sm 3.00-3.21, 1 Dy 3.05

Summary:
Energy ... -4.247 eV per atom
DFT formation energy ... -0.17 eV per atom
N(E_F) ... 6.75 states/eV/f.u.
E above lowest polymorph ... 0.000 eV per formula unit
V ... 28.1 Å³ per atom

Compound: Sm4Dy5Ag
Source: Alexandria
Functional: GGA-PBE
Structure: optimized geometry

a b c (Å): 3.5837 3.5837 24.1162
angles (deg): 90.00 90.00 90.00
With the nearest neighbours (Å) after each atom.
Space group P4/mmm (No. 123)
One atom of each set of equivalent atoms:
Sm 0.0000 0.0000 0.1051 x2  4 Sm 3.58, 8 Dy 3.58-3.59
Sm 0.0000 0.0000 0.3152 x2  8 Dy 3.57-3.61, 4 Sm 3.58
Dy 0.5000 0.5000 0.0000 x1  4 Dy 3.58, 8 Sm 3.58
Dy 0.5000 0.5000 0.2108 x2  8 Sm 3.57-3.59, 4 Dy 3.58
Dy 0.5000 0.5000 0.4220 x2  4 Ag 3.16
Ag 0.0000 0.0000 0.5000 x1  8 Dy 3.16

Summary:
Energy ... -4.518 eV per atom
DFT formation energy ... -0.04 eV per atom
N(E_F) ... 12.08 states/eV/f.u.
V ... 31.0 Å³ per atom

Compound: SmDy2Ag
Source: Alexandria
Functional: GGA-PBE
Structure: optimized geometry

a b c (Å): 4.9967 11.8380 7.9181
angles (deg): 90.00 90.00 90.00
With the nearest neighbours (Å) after each atom.
Space group Cmcm (No. 63)
One atom of each set of equivalent atoms:
Sm 0.0000 0.0523 0.2500 x4  1 Ag 3.06
Dy 0.0000 0.3570 0.0360 x8  3 Ag 2.88-3.11
Ag 0.0000 0.2062 0.7500 x4  6 Dy 2.88-3.11, 1 Sm 3.06

Summary:
Energy ... -4.265 eV per atom
DFT formation energy ... -0.07 eV per atom
N(E_F) ... 5.65 states/eV/f.u.
E above lowest polymorph ... 0.248 eV per formula unit
V ... 29.3 Å³ per atom